No. 1
This record from Alexandria via LeMat-Bulk describes a relaxed structure of NbAl2SbF. The functional is PBE.

Output
Energy relative to the elements, uncorrected   2.55 eV/f.u.
N(E_F)   4.745 states/eV/cell
Crystal system   tetragonal

Structure (CIF):
```
data_NbAl2SbF
_symmetry_space_group_name_H-M 'P 4/m m m'
_symmetry_Int_Tables_number 123
_symmetry_space_group_name_Hall '-P 4 2'
_cell_length_a 5.3322
_cell_length_b 5.3322
_cell_length_c 4.1015
_cell_angle_alpha 90.00
_cell_angle_beta 90.00
_cell_angle_gamma 90.00
loop_
_atom_site_label
_atom_site_fract_x
_atom_site_fract_y
_atom_site_fract_z
_atom_site_occupancy
Nb1 0.0000 0.0000 0.0000 1
Al1 0.0000 0.5000 0.5000 1
Sb1 0.5000 0.5000 0.5000 1
F1 0.5000 0.5000 0.0000 1
```

***

No. 2
This record from Alexandria via LeMat-Bulk describes a relaxed structure of NbAlTc2F. The functional is PBE.

Output
Energy relative to the elements, uncorrected   6.57 eV/f.u.
N(E_F)   4.040 states/eV/cell
Polymorph energy (0 for the lowest one)   1.167 eV per atom
Crystal system   tetragonal

Structure (CIF):
```
data_NbAlTc2F
_symmetry_space_group_name_H-M 'P 4/m m m'
_symmetry_Int_Tables_number 123
_symmetry_space_group_name_Hall '-P 4 2'
_cell_length_a 4.7377
_cell_length_b 4.7377
_cell_length_c 5.2817
_cell_angle_alpha 90.00
_cell_angle_beta 90.00
_cell_angle_gamma 90.00
loop_
_atom_site_label
_atom_site_fract_x
_atom_site_fract_y
_atom_site_fract_z
_atom_site_occupancy
Nb1 0.0000 0.0000 0.0000 1
Al1 0.0000 0.0000 0.5000 1
Tc1 0.0000 0.5000 0.0000 1
F1 0.5000 0.5000 0.5000 1
```

***

No. 3
This record from Alexandria via LeMat-Bulk describes a relaxed structure of NbAlTc2F. The functional is PBE.

Output
Energy relative to the elements, uncorrected   0.74 eV/f.u.
N(E_F)   3.416 states/eV/cell
Polymorph energy (0 for the lowest one)   0.000 eV per atom
Crystal system   tetragonal

Structure (CIF):
```
data_NbAlTc2F
_symmetry_space_group_name_H-M 'P 4/m m m'
_symmetry_Int_Tables_number 123
_symmetry_space_group_name_Hall '-P 4 2'
_cell_length_a 4.5504
_cell_length_b 4.5504
_cell_length_c 3.5416
_cell_angle_alpha 90.00
_cell_angle_beta 90.00
_cell_angle_gamma 90.00
loop_
_atom_site_label
_atom_site_fract_x
_atom_site_fract_y
_atom_site_fract_z
_atom_site_occupancy
Nb1 0.0000 0.0000 0.0000 1
Al1 0.5000 0.5000 0.0000 1
Tc1 0.0000 0.5000 0.5000 1
F1 0.5000 0.5000 0.5000 1
```

***

Per-record E_tot, eV/atom: -4.200; -5.969; -7.136